Record 1
This record from Alexandria describes a geometry-optimized EuScAl2 structure. The functional is PBE.

Results
The total moment comes out at 7.17 μB/cell. The value obtained for the formation energy is -0.34 eV/atom. The theoretical density is 4.56 g/cm3. Its space-group type is No. 123.

Lattice parameters (Å, degrees): 3.555 3.555 7.235 90.00 90.00 90.00
Last column: magnetic moment on the atom in μB.
Element x y z (fractional)
Sc 0.500 0.500 0.000  -0.02
Al 0.000 0.000 0.791  0.01
Eu 0.500 0.500 0.500  -6.85
Al 0.000 0.000 0.209  0.01


Record 2
This record from Alexandria describes a geometry-optimized PuZn4Ag structure. The functional is PBE.

Results
The total moment comes out at 6.22 μB/cell. The value obtained for the formation energy is -0.04 eV/atom. The theoretical density is 9.39 g/cm3. Its space-group type is No. 216.

Lattice parameters (Å, degrees): 5.354 5.354 5.354 60.00 60.00 60.00
Last column: magnetic moment on the atom in μB.
Element x y z (fractional)
Zn 0.123 0.626 0.626  0.05
Pu 0.250 0.250 0.250  5.51
Zn 0.626 0.626 0.123  0.05
Ag 0.000 0.000 0.000  0.06
Zn 0.626 0.123 0.626  0.05
Zn 0.626 0.626 0.626  0.05